## PtPb2 (meta-GGA SCAN)

Data for a crystal of PtPb2 relaxed with PBEsol.

Cell lengths 13.187, 13.187, 13.187 Å; angles 165.32, 165.32, 20.82 degrees
Fractional positions:
Pt1 0.375 0.625 0.750
Pt2 0.625 0.375 0.250
Pb1 0.059 0.809 0.250
Pb2 0.191 0.941 0.250
Pb3 0.809 0.059 0.750
Pb4 0.941 0.191 0.750

Summary:
Crystal system = tetragonal
Formation energy = -0.077 eV/atom
SG = I4_1/amd

## SbWCl2 (meta-GGA SCAN)

Data for a crystal of SbWCl2 relaxed with PBEsol.

Cell lengths 3.000, 4.433, 6.566 Å; angles 90.00, 96.67, 90.00 degrees
Fractional positions:
Sb1 0.000 0.000 0.000
W1 0.865 0.500 0.296
Cl1 0.430 0.500 0.591
Cl2 0.860 0.000 0.422

Summary:
Uncorrected formation energy = 4.64 kcal/mol of atoms
Crystal system = monoclinic
Offset from the most stable computed form = 0.00 eV per formula unit
SG = Pm

## InOsBr2 (meta-GGA SCAN)

Data for a crystal of InOsBr2 relaxed with PBEsol.

Cell lengths 5.206, 5.206, 5.206 Å; angles 130.93, 130.93, 71.92 degrees
Fractional positions:
In1 0.000 0.000 0.000
Os1 0.750 0.250 0.500
Br1 0.250 0.750 0.500
Br2 0.500 0.500 0.000

Summary:
Uncorrected formation energy = 28.26 kcal/mol of atoms
Crystal system = tetragonal
Offset from the most stable computed form = 3.86 eV per formula unit
SG = I-4m2

## ScHgPb2 (meta-GGA SCAN)

Data for a crystal of ScHgPb2 relaxed with PBEsol.

Cell lengths 3.406, 3.406, 8.649 Å; angles 90.00, 90.00, 90.00 degrees
Fractional positions:
Sc1 0.000 0.000 0.000
Hg1 0.500 0.500 0.197
Pb1 0.000 0.000 0.451
Pb2 0.500 0.500 0.756

Summary:
Crystal system = tetragonal
Formation energy = -0.249 eV/atom
SG = P4mm

## ZrMnSb2 (meta-GGA SCAN)

Data for a crystal of ZrMnSb2 relaxed with PBEsol.

Cell lengths 5.643, 5.643, 4.225 Å; angles 96.27, 96.27, 39.15 degrees
Fractional positions:
Zr1 0.000 0.000 0.000
Mn1 0.813 0.813 0.450
Sb1 0.283 0.283 0.950
Sb2 0.563 0.563 0.519

Summary:
Uncorrected formation energy = -9.49 kcal/mol of atoms
Crystal system = monoclinic
SG = Cm

## Zr2MnW (meta-GGA SCAN)

Data for a crystal of Zr2MnW relaxed with PBEsol.

Cell lengths 3.206, 3.206, 6.556 Å; angles 90.00, 90.00, 90.00 degrees
Fractional positions:
Zr1 0.000 0.000 0.236
Zr2 0.000 0.000 0.764
Mn1 0.500 0.500 0.000
W1 0.500 0.500 0.500

Summary:
Crystal system = tetragonal
Formation energy = 0.153 eV/atom
SG = P4/mmm

Number 1: volume 147.2 Å³ per cell, final energy -73.995 eV/atom. Number 2: volume 86.7 Å³ per cell, final energy -30.525 eV/atom. Number 3: volume 78.8 Å³ per cell, final energy -34.821 eV/atom. Number 4: volume 100.3 Å³ per cell, final energy -58.740 eV/atom. Number 5: volume 84.4 Å³ per cell, final energy -31.280 eV/atom. Number 6: volume 67.4 Å³ per cell, final energy -37.182 eV/atom.